A geometry-optimized Ti2Co5GeB2 structure, computed with PBE.

POSCAR file:
```
Ti2Co5GeB2
1.0
-1.7117 0.1926 -2.4862
3.4630 -7.0534 -2.9308
-5.9845 -4.5052 3.7712
Ti Co B Ge
4 10 4 2
direct
0.0000 0.8249 0.6751
0.0000 0.6751 0.1751
0.0000 0.3249 0.8249
0.0000 0.1751 0.3249
0.5000 0.5000 0.0000
0.5000 0.4299 0.2810
0.5000 0.7810 0.9299
0.5000 0.0701 0.7810
0.5000 0.5701 0.7190
0.5000 0.2190 0.0701
0.5000 0.0000 0.5000
0.5000 0.7190 0.4299
0.5000 0.9299 0.2190
0.5000 0.2810 0.5701
0.0000 0.1209 0.6209
0.0000 0.8791 0.3791
0.0000 0.3791 0.1209
0.0000 0.6209 0.8791
0.0000 0.0000 0.0000
0.0000 0.5000 0.5000
```

Values from the calculation:
Magnetization   0.0 μB/cell
Energy of formation   -53.5 kJ per mole of atoms
Space-group type   No. 127